First-principles (GGA-PBE) data for a relaxed ZnNi3Ag crystal, as listed in Alexandria via LeMat-Bulk.

Geometry as CIF:
```
data_ZnNi3Ag
_chemical_formula_sum 'Zn1 Ni3 Ag1'
_cell_length_a 4.6207
_cell_length_b 4.6207
_cell_length_c 4.6207
_cell_angle_alpha 90.00
_cell_angle_beta 90.00
_cell_angle_gamma 90.00
_space_group_name_H-M_alt 'P m -3 m'
_space_group_IT_number 221
_space_group_name_Hall '-P 4 2 3'
loop_
_atom_site_label
_atom_site_type_symbol
_atom_site_fract_x
_atom_site_fract_y
_atom_site_fract_z
_atom_site_occupancy
Zn1 Zn 0.0000 0.0000 0.0000 1
Ni1 Ni 0.0000 0.5000 0.5000 1
Ag1 Ag 0.5000 0.5000 0.5000 1
```

Calculated values
* ΔE to the lowest computed polymorph: 495.4 meV per atom
* DFT formation energy: 6.9 eV/f.u.
* ρ: 5.88 g/cm³